[1]
## LuSF (PBEsol)

Data for a relaxed structure of LuSF.

abc: 8.5288 8.5288 8.5288
angles: 26.07 26.07 26.07
With the nearest neighbours (Å) after each atom.
Element x y z (fractional)
1 Lu 0.0000 0.0000 0.0000  6 F 2.25
2 Lu 0.5000 0.5000 0.5000  6 S 2.65
3 S 0.1084 0.1084 0.1084  4 Lu 2.65-2.68
4 S 0.8916 0.8916 0.8916  4 Lu 2.65-2.68
5 F 0.3180 0.3180 0.3180  3 Lu 2.25, 3 F 2.35
6 F 0.6820 0.6820 0.6820  3 Lu 2.25, 3 F 2.35

Space-group type: R-3m
D(E_F) (states/eV per atom): 0.000
Energy relative to the elements, uncorrected (eV per atom): -3.023

=====

[2]
## LuSnF7 (PBEsol)

Data for a relaxed structure of LuSnF7.

abc: 8.6954 5.4893 11.7342
angles: 90.00 117.39 90.00
With the nearest neighbours (Å) after each atom.
Element x y z (fractional)
1 Lu 0.1853 0.2426 0.2659  8 F 2.11-2.27
2 Lu 0.1853 0.2574 0.7659  8 F 2.11-2.27
3 Lu 0.8147 0.7426 0.2341  8 F 2.11-2.27
4 Lu 0.8147 0.7574 0.7341  8 F 2.11-2.27
5 Sn 0.2712 0.7428 0.0430  6 F 1.97-1.99
6 Sn 0.2712 0.7572 0.5430  6 F 1.97-1.99
7 Sn 0.7288 0.2428 0.4570  6 F 1.97-1.99
8 Sn 0.7288 0.2572 0.9570  6 F 1.97-1.99
9 F 0.0163 0.7424 0.9440  1 Sn 1.97
10 F 0.0163 0.7576 0.4440  1 Sn 1.97
11 F 0.0279 0.5744 0.7348  2 Lu 2.11-2.14
12 F 0.0279 0.9256 0.2348  2 Lu 2.11-2.14
13 F 0.2544 0.5387 0.1770  1 Sn 1.99, 1 Lu 2.16
14 F 0.2544 0.9613 0.6770  1 Sn 1.99, 1 Lu 2.16
15 F 0.2714 0.0248 0.1483  1 Sn 1.98, 1 Lu 2.20
16 F 0.2714 0.4752 0.6483  1 Sn 1.98, 1 Lu 2.20
17 F 0.2766 0.0615 0.4526  1 Sn 1.99, 1 Lu 2.20
18 F 0.2766 0.4385 0.9526  1 Sn 1.99, 1 Lu 2.20
19 F 0.2931 0.5420 0.4163  1 Sn 1.98
20 F 0.2931 0.9580 0.9163  1 Sn 1.98
21 F 0.4746 0.2249 0.3586  1 Sn 1.97
22 F 0.4746 0.2751 0.8586  1 Sn 1.97
23 F 0.5254 0.7249 0.1414  1 Sn 1.97
24 F 0.5254 0.7751 0.6414  1 Sn 1.97
25 F 0.7069 0.0420 0.0837  1 Sn 1.98
26 F 0.7069 0.4580 0.5837  1 Sn 1.98
27 F 0.7234 0.5615 0.0474  1 Sn 1.99, 1 Lu 2.20
28 F 0.7234 0.9385 0.5474  1 Sn 1.99, 1 Lu 2.20
29 F 0.7286 0.5248 0.3517  1 Sn 1.98, 1 Lu 2.20
30 F 0.7286 0.9752 0.8517  1 Sn 1.98, 1 Lu 2.20
31 F 0.7456 0.0387 0.3230  1 Sn 1.99, 1 Lu 2.16
32 F 0.7456 0.4613 0.8230  1 Sn 1.99, 1 Lu 2.16
33 F 0.9721 0.0744 0.7652  2 Lu 2.11-2.14
34 F 0.9721 0.4256 0.2652  2 Lu 2.11-2.14
35 F 0.9837 0.2424 0.5560  1 Sn 1.97
36 F 0.9837 0.2576 0.0560  1 Sn 1.97

Space-group type: P2_1/c
D(E_F) (states/eV per atom): 0.000
Energy relative to the elements, uncorrected (eV per atom): -3.264

=====

[3]
## LuZr3F15 (PBEsol)

Data for a relaxed structure of LuZr3F15.

abc: 8.0048 8.0048 8.0006
angles: 100.22 100.22 100.12
With the nearest neighbours (Å) after each atom.
Element x y z (fractional)
1 Lu 0.1775 0.8225 0.7500  8 F 2.16-2.24
2 Lu 0.8225 0.1775 0.2500  8 F 2.16-2.24
3 Zr 0.2486 0.7514 0.2500  6 F 1.99-2.02
4 Zr 0.2499 0.3221 0.6740  8 F 2.04-2.23
5 Zr 0.3221 0.2499 0.1740  8 F 2.04-2.23
6 Zr 0.6779 0.7501 0.8260  8 F 2.04-2.23
7 Zr 0.7501 0.6779 0.3260  8 F 2.04-2.23
8 Zr 0.7514 0.2486 0.7500  6 F 1.99-2.02
9 F 0.0107 0.2774 0.7814  2 Zr 2.01-2.23
10 F 0.0420 0.2517 0.4681  1 Zr 2.04, 1 Lu 2.16
11 F 0.0599 0.1842 0.1508  1 Zr 2.04, 1 Lu 2.18
12 F 0.1546 0.5435 0.6812  1 Zr 2.04, 1 Lu 2.17
13 F 0.1842 0.0599 0.6508  1 Zr 2.04, 1 Lu 2.18
14 F 0.2220 0.4913 0.2218  2 Zr 2.02-2.22
15 F 0.2236 0.7204 0.9934  1 Zr 1.99
16 F 0.2517 0.0420 0.9681  1 Zr 2.04, 1 Lu 2.16
17 F 0.2774 0.0107 0.2814  2 Zr 2.01-2.23
18 F 0.2796 0.7764 0.5066  1 Zr 1.99
19 F 0.3189 0.3509 0.9470  2 Zr 2.11-2.12
20 F 0.3509 0.3189 0.4470  2 Zr 2.11-2.12
21 F 0.4565 0.8454 0.8188  1 Zr 2.04, 1 Lu 2.17
22 F 0.4665 0.5335 0.7500  2 Zr 2.11
23 F 0.4913 0.2220 0.7218  2 Zr 2.02-2.22
24 F 0.5087 0.7780 0.2782  2 Zr 2.02-2.22
25 F 0.5335 0.4665 0.2500  2 Zr 2.11
26 F 0.5435 0.1546 0.1812  1 Zr 2.04, 1 Lu 2.17
27 F 0.6491 0.6811 0.5530  2 Zr 2.11-2.12
28 F 0.6811 0.6491 0.0530  2 Zr 2.11-2.12
29 F 0.7204 0.2236 0.4934  1 Zr 1.99
30 F 0.7226 0.9893 0.7186  2 Zr 2.01-2.23
31 F 0.7483 0.9580 0.0319  1 Zr 2.04, 1 Lu 2.16
32 F 0.7764 0.2796 0.0066  1 Zr 1.99
33 F 0.7780 0.5087 0.7782  2 Zr 2.02-2.22
34 F 0.8158 0.9401 0.3492  1 Zr 2.04, 1 Lu 2.18
35 F 0.8454 0.4565 0.3188  1 Zr 2.04, 1 Lu 2.17
36 F 0.9401 0.8158 0.8492  1 Zr 2.04, 1 Lu 2.18
37 F 0.9580 0.7483 0.5319  1 Zr 2.04, 1 Lu 2.16
38 F 0.9893 0.7226 0.2186  2 Zr 2.01-2.23

Space-group type: C2/c
D(E_F) (states/eV per atom): 0.000
Energy relative to the elements, uncorrected (eV per atom): -3.865

=====

- Look up the D(E_F) of the second one.
  0.000 states/eV per atom